No. 1
# KTc2RuPb PBE optimized geometry
# M_tot ... 7.51 μB/f.u.
# Energy of formation from the pure elements ... 2.52 eV per atom
data_KTc2RuPb
_cell_length_a 5.165
_cell_length_b 5.165
_cell_length_c 5.746
_cell_angle_alpha 90.00
_cell_angle_beta 90.00
_cell_angle_gamma 90.00
_space_group_name_H-M_alt 'P 4/m m m'
_space_group_IT_number 123
_space_group_name_Hall '-P 4 2'
loop_
_atom_site_label
_atom_site_fract_x
_atom_site_fract_y
_atom_site_fract_z
K1 0.000 0.000 0.000
Tc1 0.000 0.500 0.500
Ru1 0.500 0.500 0.000
Pb1 0.000 0.000 0.500

No. 2
# KVRuPb2 PBE optimized geometry
# M_tot ... 0.16 μB/f.u.
# Energy of formation from the pure elements ... 0.62 eV per atom
data_KVRuPb2
_cell_length_a 5.467
_cell_length_b 5.467
_cell_length_c 4.677
_cell_angle_alpha 90.00
_cell_angle_beta 90.00
_cell_angle_gamma 90.00
_space_group_name_H-M_alt 'P 4/m m m'
_space_group_IT_number 123
_space_group_name_Hall '-P 4 2'
loop_
_atom_site_label
_atom_site_fract_x
_atom_site_fract_y
_atom_site_fract_z
K1 0.000 0.000 0.000
V1 0.500 0.500 0.000
Ru1 0.500 0.500 0.500
Pb1 0.000 0.500 0.500

No. 3
# K2PbS2 PBE optimized geometry
# M_tot ... 0.00 μB/f.u.
# Excess energy over the best structure of this formula in the dataset ... 49.2 kJ/mol of atoms
# E_form (uncorrected) ... -1.90 eV per formula unit
data_K2PbS2
_cell_length_a 4.327
_cell_length_b 4.327
_cell_length_c 15.123
_cell_angle_alpha 90.00
_cell_angle_beta 90.00
_cell_angle_gamma 90.00
_space_group_name_H-M_alt 'I 4/m m m'
_space_group_IT_number 139
_space_group_name_Hall '-I 4 2'
loop_
_atom_site_label
_atom_site_fract_x
_atom_site_fract_y
_atom_site_fract_z
K1 0.000 0.500 0.250
Pb1 0.000 0.000 0.000
S1 0.000 0.000 0.391

no.,theoretical density (g/cm3)
1,5.887
2,7.194
3,4.099